Version P
# SrFeAs3

SrFeAs3 after structural relaxation (PBE-GGA, Alexandria).

Properties
* M_tot: 3.734 μB/f.u.

a = 5.526 Å, b = 5.526 Å, c = 5.526 Å
α = 90.00°, β = 90.00°, γ = 90.00°
Last column: magnetic moment on the atom in μB.
Sites, in units of the cell vectors:
As 0.000 0.000 0.500  0.00
As 0.500 0.000 0.000  0.01
As 0.000 0.500 0.000  0.00
Fe 0.500 0.500 0.500  3.42
Sr 0.000 0.000 0.000  0.02

***

Version Q
# SrFeAs3

SrFeAs3 after structural relaxation (PBE-GGA, Alexandria).

Properties
* M_tot: 0.000 μB/f.u.

a = 4.753 Å, b = 4.753 Å, c = 4.753 Å
α = 90.00°, β = 90.00°, γ = 90.00°
Sites, in units of the cell vectors:
As 0.500 0.000 0.000
As 0.000 0.000 0.500
As 0.000 0.500 0.000
Fe 0.000 0.000 0.000
Sr 0.500 0.500 0.500

***

Most stable to least stable, the ends of the list are version Q and version P.

***

Version P
# TaFeAs2

TaFeAs2 after structural relaxation (PBE-GGA, Alexandria).

Properties
* M_tot: 1.685 μB/f.u.

a = 4.481 Å, b = 2.959 Å, c = 5.030 Å
α = 73.00°, β = 90.00°, γ = 90.00°
Last column: magnetic moment on the atom in μB.
Sites, in units of the cell vectors:
Ta 0.500 0.686 0.756  -0.11
Fe 0.000 0.322 0.469  1.88
As 0.000 0.082 0.970  -0.01
As 0.500 0.410 0.305  -0.02

***

Version Q
# TaFeAs2

TaFeAs2 after structural relaxation (PBE-GGA, Alexandria).

Properties
* M_tot: 3.099 μB/f.u.

a = 5.681 Å, b = 5.681 Å, c = 6.920 Å
α = 65.76°, β = 65.76°, γ = 90.00°
Last column: magnetic moment on the atom in μB.
Sites, in units of the cell vectors:
As 0.375 0.392 0.750  0.00
As 0.608 0.125 0.250  0.00
As 0.875 0.858 0.750  0.00
As 0.142 0.625 0.250  0.00
Ta 0.000 0.000 0.000  0.14
Ta 0.750 0.250 0.500  0.14
Fe 0.250 0.750 0.500  2.78
Fe 0.500 0.500 0.000  2.78

***

Most stable to least stable, the ends of the list are version P and version Q.

***

Version P
# TaFeAs2

TaFeAs2 after structural relaxation (PBE-GGA, Alexandria).

Properties
* M_tot: 1.413 μB/f.u.

a = 4.433 Å, b = 4.433 Å, c = 4.433 Å
α = 60.00°, β = 60.00°, γ = 60.00°
Last column: magnetic moment on the atom in μB.
Sites, in units of the cell vectors:
Ta 0.500 0.500 0.500  -0.12
Fe 0.000 0.000 0.000  1.77
As 0.250 0.250 0.250  -0.04
As 0.750 0.750 0.750  -0.04

***

Version Q
# TaFeAs2

TaFeAs2 after structural relaxation (PBE-GGA, Alexandria).

Properties
* M_tot: 1.481 μB/f.u.

a = 4.353 Å, b = 4.353 Å, c = 3.210 Å
α = 90.00°, β = 90.00°, γ = 90.00°
Last column: magnetic moment on the atom in μB.
Sites, in units of the cell vectors:
As 0.000 0.000 0.000  -0.04
As 0.500 0.500 0.000  -0.04
Ta 0.000 0.500 0.500  -0.16
Fe 0.500 0.000 0.500  1.84

***

Version R
# TaFeAs2

TaFeAs2 after structural relaxation (PBE-GGA, Alexandria).

Properties
* M_tot: 2.097 μB/f.u.

a = 4.483 Å, b = 4.483 Å, c = 4.483 Å
α = 60.00°, β = 60.00°, γ = 60.00°
Last column: magnetic moment on the atom in μB.
Sites, in units of the cell vectors:
As 0.750 0.750 0.750  0.04
As 0.000 0.000 0.000  0.10
Fe 0.500 0.500 0.500  2.08
Ta 0.250 0.250 0.250  -0.14

***

Version S
# TaFeAs2

TaFeAs2 after structural relaxation (PBE-GGA, Alexandria).

Properties
* M_tot: 2.184 μB/f.u.

a = 3.380 Å, b = 3.380 Å, c = 5.565 Å
α = 90.00°, β = 90.00°, γ = 90.00°
Last column: magnetic moment on the atom in μB.
Sites, in units of the cell vectors:
Fe 0.000 0.000 0.464  2.27
As 0.000 0.000 0.963  -0.01
As 0.500 0.500 0.299  -0.03
Ta 0.500 0.500 0.774  -0.03

***

Most stable to least stable, the ends of the list are version S and version R.